Compound: Ce3PSe2
Source: Alexandria via LeMat-Bulk
Functional: PBE
Structure: relaxed

Computed properties:
Formation energy from raw total energies, eV per formula unit: -10.4
Space-group type: Immm

```
Ce3PSe2
1.0
3.995 0.000 -1.132
-0.617 5.440 -2.177
-0.106 -0.305 7.241
Ce Se P
3 2 1
Cartesian
0.000 0.000 0.000 Ce
1.083 1.653 3.824 Ce
2.189 3.482 0.108 Ce
2.533 0.818 1.326 Se
0.738 4.317 2.606 Se
-0.308 2.720 -1.088 P
```


Compound: Er6FeTe3
Source: Alexandria via LeMat-Bulk
Functional: PBE
Structure: relaxed

Computed properties:
Formation energy from raw total energies, eV per formula unit: -5.7
Space-group type: Cmc2_1

```
Er6FeTe3
1.0
-3.899 -5.547 -1.620
-0.923 -1.999 9.071
-6.725 5.650 -3.160
Er Te Fe
12 6 2
Cartesian
-4.085 -4.609 3.736 Er
-8.164 -0.060 2.399 Er
-2.073 0.028 2.437 Er
-2.116 -3.502 8.455 Er
-5.372 1.602 4.986 Er
-9.725 1.188 -4.286 Er
-4.866 -1.634 -0.150 Er
-8.314 -0.317 -1.531 Er
-3.268 -1.627 5.808 Er
-6.503 -3.454 5.605 Er
-7.301 2.942 0.623 Er
-4.883 1.787 -1.246 Er
-5.941 -4.039 -1.824 Te
-7.545 -0.614 5.311 Te
-5.217 0.777 1.801 Te
-6.486 -2.894 2.427 Te
-2.749 -2.903 1.604 Te
-10.737 -1.749 1.883 Te
-6.104 4.259 -1.497 Fe
-3.912 -3.976 6.425 Fe
```


Compound: PuTi2Nb
Source: Alexandria via LeMat-Bulk
Functional: PBE
Structure: relaxed

Computed properties:
Space-group type: P4/mmm
Energy, Ry/atom: -0.73017

```
PuTi2Nb
1.0
-1.915 -1.524 2.266
-0.870 -2.283 -2.271
5.354 -3.919 1.888
Nb Ti Pu
1 2 1
Cartesian
-1.393 -1.903 -0.002 Nb
4.191 -3.068 1.478 Ti
1.163 -0.852 0.410 Ti
1.285 -3.863 0.942 Pu
```


Compound: Cs2AgHg5
Source: Alexandria via LeMat-Bulk
Functional: PBE
Structure: relaxed

Computed properties:
Space-group type: I4mm
Energy, Ry/atom: -0.06749

```
Cs2AgHg5
1.0
-6.960 1.461 -0.417
-1.266 -6.655 -2.204
3.377 0.778 7.228
Cs Ag Hg
2 1 5
Cartesian
-3.902 -0.313 3.188 Cs
-1.055 -4.371 2.295 Cs
-4.700 -4.048 3.411 Ag
-2.677 -4.842 -1.365 Hg
-6.311 -4.079 -1.583 Hg
-4.356 -3.198 0.644 Hg
-5.650 -0.605 -0.432 Hg
-2.017 -1.368 -0.215 Hg
```


Compound: YCoIr2
Source: Alexandria via LeMat-Bulk
Functional: PBE
Structure: relaxed

Computed properties:
Space-group type: Immm
Energy, Ry/atom: -0.57972

```
YCoIr2
1.0
5.512 0.000 0.000
2.827 4.732 0.000
-3.596 -3.378 2.459
Ir Co Y
2 1 1
Cartesian
3.935 2.233 0.000 Ir
0.235 0.133 0.000 Ir
1.701 1.860 1.229 Co
3.043 -0.506 1.229 Y
```


Compound: ErLuMgPd
Source: Alexandria via LeMat-Bulk
Functional: PBE
Structure: relaxed

Computed properties:
Space-group type: F-43m
Energy, Ry/atom: -0.32230

```
ErLuMgPd
1.0
-2.850 -3.450 -2.357
-0.653 -4.574 2.057
-4.501 -1.294 1.910
Mg Pd Lu Er
1 1 1 1
Cartesian
-4.002 -4.659 0.805 Mg
0.000 0.000 0.000 Pd
-6.003 -6.989 1.208 Lu
-2.001 -2.330 0.403 Er
```